The following is a DFT calculation (GGA-PBE) of a relaxed Ni2PtSeS crystal.

* volume: 91 Å³ per cell
* final energy: -4.334 eV/atom
* total moment: 0.000 μB/f.u.
* raw formation energy: 3.55 eV per formula unit

Cell lengths 4.341, 4.341, 4.820 Å; angles 90.00, 90.00, 90.00 degrees
Fractional coordinates of all 5 atoms:
Ni  0.000  0.500  0.000
Ni  0.500  0.000  0.000
Pt  0.000  0.000  0.500
Se  0.000  0.000  0.000
S  0.500  0.500  0.500